Record 1
DFT (PBE-GGA) results for LiMnCr after structural relaxation.

The space group is I4mm (No. 107) and the conventional cell measures 3.0184, 3.0184 and 8.8583 Å, with angles of 90.00, 90.00 and 90.00 degrees. The distinct sites, in fractional coordinates, are Li at (0.0000, 0.0000, 0.0000), Mn at (0.0000, 0.0000, 0.3142) and Cr at (0.0000, 0.0000, 0.6889).

The formation energy comes out at 0.97 eV per formula unit. For the energy above the most stable polymorph in this dataset, the calculation gives 11 meV per atom. The value obtained for the total energy is -6.58 eV/atom. The density of states at the Fermi level is 3.18 states/eV per cell.


Record 2
DFT (PBE-GGA) results for HgIrBr2 after structural relaxation.

The space group is R3m (No. 160, hexagonal axes) and the conventional cell measures 3.8498, 3.8498 and 23.7737 Å, with angles of 90.00, 90.00 and 120.00 degrees. The distinct sites, in fractional coordinates, are Hg at (0.0000, 0.0000, 0.0000), Ir at (0.0000, 0.0000, 0.2599), Br at (0.0000, 0.0000, 0.5451) and Br at (0.0000, 0.0000, 0.7437).

For the energy above the most stable polymorph in this dataset, the calculation gives 160 meV per atom. The value obtained for the total energy is -2.89 eV/atom. The calculation puts the energy relative to the elements, uncorrected at 0.240 eV/atom. The density of states at the Fermi level is 9.04 states/eV per cell.


Record 3
DFT (PBE-GGA) results for PmBiAu2O8 after structural relaxation.

The space group is I-4 (No. 82) and the conventional cell measures 5.5664, 5.5664 and 10.4742 Å, with angles of 90.00, 90.00 and 90.00 degrees. The distinct sites, in fractional coordinates, are Pm at (0.0000, 0.0000, 0.0000), Bi at (0.0000, 0.5000, 0.2500), Au at (0.0000, 0.0000, 0.5000), Au at (0.0000, 0.5000, 0.7500), O at (0.1124, 0.3333, 0.4592) and O at (0.1465, 0.8231, 0.7916).

The value obtained for the total energy is -5.28 eV/atom. The calculation puts the energy relative to the elements, uncorrected at -0.707 eV/atom. The density of states at the Fermi level is 9.81 states/eV per cell.


Record 4
DFT (PBE-GGA) results for BaNaHf3 after structural relaxation.

The space group is Pm-3m (No. 221) and the conventional cell measures 5.4125, 5.4125 and 5.4125 Å, with angles of 90.00, 90.00 and 90.00 degrees. The distinct sites, in fractional coordinates, are Ba at (0.0000, 0.0000, 0.0000), Na at (0.5000, 0.5000, 0.5000) and Hf at (0.0000, 0.0000, 0.5000).

The formation energy comes out at 9.72 eV per formula unit. For the energy above the most stable polymorph in this dataset, the calculation gives 437 meV per atom. The value obtained for the total energy is -4.68 eV/atom. The density of states at the Fermi level is 8.40 states/eV per cell.